Computed, not measured: a relaxed structure of Ba2HfTcIr at the PBE-GGA level of DFT.

Lattice parameters (Å, degrees): 6.3638 6.3638 4.7587 90.00 90.00 90.00
Closest atoms and distances in Å follow each position.
Space group P4/mmm (No. 123)
Inequivalent atoms, fractional coordinates:
Ba1 0.0000 0.5000 0.0000  2 Hf 3.18
Hf1 0.0000 0.0000 0.0000  2 Ir 2.38
Tc1 0.5000 0.5000 0.5000  8 Ba 3.97
Ir1 0.0000 0.0000 0.5000  2 Hf 2.38

energy relative to the elements	1.418	eV/atom
crystal system	tetragonal
total moment	3.22	Bohr magnetons per cell
density of states at the Fermi level	7.935	states/eV/f.u.

---

Computed, not measured: a relaxed structure of K3BaHf at the PBE-GGA level of DFT.

Lattice parameters (Å, degrees): 6.9404 6.9404 6.9404 90.00 90.00 90.00
Closest atoms and distances in Å follow each position.
Space group Pm-3m (No. 221)
Inequivalent atoms, fractional coordinates:
K1 0.0000 0.0000 0.5000  2 Ba 3.47
Ba1 0.0000 0.0000 0.0000  6 K 3.47
Hf1 0.5000 0.5000 0.5000  12 K 4.91

energy relative to the elements	1.575	eV/atom
crystal system	cubic
total moment	5.02	Bohr magnetons per cell
density of states at the Fermi level	6.332	states/eV/f.u.

---

Computed, not measured: a relaxed structure of KBa3Hf at the PBE-GGA level of DFT.

Lattice parameters (Å, degrees): 6.3663 6.3663 6.3663 90.00 90.00 90.00
Closest atoms and distances in Å follow each position.
Space group Pm-3m (No. 221)
Inequivalent atoms, fractional coordinates:
K1 0.0000 0.0000 0.0000  6 Ba 3.18
Ba1 0.0000 0.0000 0.5000  2 K 3.18
Hf1 0.5000 0.5000 0.5000  12 Ba 4.50

energy relative to the elements	1.322	eV/atom
crystal system	cubic
total moment	1.78	Bohr magnetons per cell
density of states at the Fermi level	9.887	states/eV/f.u.

---

Computed, not measured: a relaxed structure of KBa3Hf at the PBE-GGA level of DFT.

Lattice parameters (Å, degrees): 6.6862 6.6862 6.6862 90.00 90.00 90.00
Closest atoms and distances in Å follow each position.
Space group Pm-3m (No. 221)
Inequivalent atoms, fractional coordinates:
K1 0.0000 0.0000 0.0000  12 Ba 4.73
Ba1 0.0000 0.5000 0.5000  2 Hf 3.34
Hf1 0.5000 0.5000 0.5000  6 Ba 3.34

energy relative to the elements	0.650	eV/atom
crystal system	cubic
total moment	2.15	Bohr magnetons per cell
density of states at the Fermi level	10.775	states/eV/f.u.

---

Computed, not measured: a relaxed structure of K4Ba2Hf at the PBE-GGA level of DFT.

Lattice parameters (Å, degrees): 6.6893 6.6893 21.3847 90.00 90.00 90.00
Closest atoms and distances in Å follow each position.
Space group I4/mmm (No. 139)
Inequivalent atoms, fractional coordinates:
K1 0.0000 0.0000 0.1755  1 Hf 3.75
K2 0.0000 0.5000 0.0000  2 Hf 3.34
Ba1 0.0000 0.0000 0.3872  5 K 4.12-4.53
Hf1 0.0000 0.0000 0.0000  4 K 3.34

energy relative to the elements	0.850	eV/atom
crystal system	tetragonal
total moment	7.20	Bohr magnetons per cell
density of states at the Fermi level	6.351	states/eV/f.u.

---

Computed, not measured: a relaxed structure of K3BaHf at the PBE-GGA level of DFT.

Lattice parameters (Å, degrees): 6.8469 6.8469 6.8469 90.00 90.00 90.00
Closest atoms and distances in Å follow each position.
Space group Pm-3m (No. 221)
Inequivalent atoms, fractional coordinates:
K1 0.0000 0.0000 0.5000  2 Hf 3.42
Ba1 0.5000 0.5000 0.5000  12 K 4.84
Hf1 0.0000 0.0000 0.0000  6 K 3.42

energy relative to the elements	1.096	eV/atom
crystal system	cubic
total moment	4.89	Bohr magnetons per cell
density of states at the Fermi level	3.351	states/eV/f.u.

---

Computed, not measured: a relaxed structure of K2BaHf at the PBE-GGA level of DFT.

Lattice parameters (Å, degrees): 5.0696 5.0696 29.1662 90.00 90.00 90.00
Closest atoms and distances in Å follow each position.
Space group I-42d (No. 122)
Inequivalent atoms, fractional coordinates:
K1 0.2366 0.2500 0.1250  4 K 3.49-3.68
Ba1 0.0000 0.0000 0.5000  4 Hf 3.58
Hf1 0.0000 0.0000 0.0000  4 Ba 3.58

energy relative to the elements	1.005	eV/atom
crystal system	tetragonal
total moment	7.10	Bohr magnetons per cell
density of states at the Fermi level	7.065	states/eV/f.u.

---

Computed, not measured: a relaxed structure of K2BaHf at the PBE-GGA level of DFT.

Lattice parameters (Å, degrees): 9.0886 9.0886 9.0886 90.00 90.00 90.00
Closest atoms and distances in Å follow each position.
Space group Fm-3m (No. 225)
Inequivalent atoms, fractional coordinates:
K1 0.2500 0.2500 0.2500  4 Hf 3.94, 4 Ba 3.94
Ba1 0.0000 0.0000 0.0000  8 K 3.94
Hf1 0.0000 0.0000 0.5000  8 K 3.94

energy relative to the elements	1.057	eV/atom
crystal system	cubic
total moment	8.87	Bohr magnetons per cell
density of states at the Fermi level	3.607	states/eV/f.u.

---

Computed, not measured: a relaxed structure of KBaHfN2 at the PBE-GGA level of DFT.

Lattice parameters (Å, degrees): 4.9701 4.9701 4.8058 90.00 90.00 90.00
Closest atoms and distances in Å follow each position.
Space group P4/mmm (No. 123)
Inequivalent atoms, fractional coordinates:
K1 0.0000 0.0000 0.0000  2 Hf 2.40, 4 N 2.49
Ba1 0.5000 0.5000 0.5000  8 N 3.46, 4 Hf 3.51
Hf1 0.0000 0.0000 0.5000  2 K 2.40
N1 0.0000 0.5000 0.0000  2 K 2.49

formation energy (no corrections)	11.5	eV/f.u.
crystal system	tetragonal
total moment	1.66	Bohr magnetons per cell
density of states at the Fermi level	7.701	states/eV/f.u.

---

Computed, not measured: a relaxed structure of KBa4Hf3O12 at the PBE-GGA level of DFT.

Lattice parameters (Å, degrees): 8.6349 8.6349 8.6349 90.00 90.00 90.00
Closest atoms and distances in Å follow each position.
Space group Im-3m (No. 229)
Inequivalent atoms, fractional coordinates:
K1 0.0000 0.0000 0.0000  6 O 2.35
Ba1 0.2500 0.2500 0.2500  12 O 3.05-3.06
Hf1 0.0000 0.0000 0.5000  6 O 1.97-2.16
O1 0.0000 0.0000 0.2718  1 Hf 1.97
O2 0.0000 0.2500 0.5000  2 Hf 2.16

formation energy (no corrections)	-53.7	eV/f.u.
crystal system	cubic
total moment	6.19	Bohr magnetons per cell
density of states at the Fermi level	10.299	states/eV/f.u.

---

Computed, not measured: a relaxed structure of KBaHfO4 at the PBE-GGA level of DFT.

Lattice parameters (Å, degrees): 4.1846 4.1846 13.6345 90.00 90.00 90.00
Closest atoms and distances in Å follow each position.
Space group I4mm (No. 107)
Inequivalent atoms, fractional coordinates:
K1 0.0000 0.0000 0.0000  9 O 2.73-2.96
Ba1 0.0000 0.0000 0.7024  9 O 2.68-2.96
Hf1 0.0000 0.0000 0.3578  6 O 2.02-2.14
O1 0.0000 0.0000 0.2005  1 Hf 2.14
O2 0.0000 0.0000 0.5058  1 Hf 2.02
O3 0.0000 0.5000 0.3461  2 Hf 2.10

formation energy (no corrections)	-18.1	eV/f.u.
crystal system	tetragonal
total moment	2.06	Bohr magnetons per cell
density of states at the Fermi level	4.619	states/eV/f.u.

---

Computed, not measured: a relaxed structure of KBa2HfPb at the PBE-GGA level of DFT.

Lattice parameters (Å, degrees): 6.1185 6.1185 5.9050 90.00 90.00 90.00
Closest atoms and distances in Å follow each position.
Space group P4/mmm (No. 123)
Inequivalent atoms, fractional coordinates:
K1 0.0000 0.0000 0.0000  2 Pb 2.95, 4 Ba 3.06
Ba1 0.0000 0.5000 0.0000  2 K 3.06
Hf1 0.5000 0.5000 0.5000  8 Ba 4.25, 4 Pb 4.33
Pb1 0.0000 0.0000 0.5000  2 K 2.95

energy relative to the elements	1.192	eV/atom
crystal system	tetragonal
total moment	1.82	Bohr magnetons per cell
density of states at the Fermi level	6.757	states/eV/f.u.

---

Computed, not measured: a relaxed structure of K2BaHf3S8 at the PBE-GGA level of DFT.

Lattice parameters (Å, degrees): 7.7212 7.7212 22.8132 90.00 90.00 120.00
Closest atoms and distances in Å follow each position.
Space group R3m (No. 160, hexagonal axes)
Inequivalent atoms, fractional coordinates:
K1 0.0000 0.0000 0.0000  4 S 2.97-3.07
K2 0.0000 0.0000 0.3622  6 S 3.17
Ba1 0.0000 0.0000 0.7329  4 S 2.93-3.18
Hf1 0.0057 0.5028 0.8652  6 S 2.51-2.67
S1 0.0000 0.0000 0.1347  3 Hf 2.63
S2 0.0000 0.0000 0.5934  3 Hf 2.67
S3 0.0332 0.5166 0.1366  2 Hf 2.57
S4 0.1791 0.3583 0.9233  2 Hf 2.51

formation energy (no corrections)	-21.4	eV/f.u.
crystal system	trigonal
total moment	0.00	Bohr magnetons per cell

---

Computed, not measured: a relaxed structure of KBaSrHf2 at the PBE-GGA level of DFT.

Lattice parameters (Å, degrees): 5.5651 5.5651 5.9524 90.00 90.00 90.00
Closest atoms and distances in Å follow each position.
Space group P4/mmm (No. 123)
Inequivalent atoms, fractional coordinates:
K1 0.0000 0.0000 0.0000  4 Hf 2.78, 2 Ba 2.98
Ba1 0.0000 0.0000 0.5000  2 K 2.98
Sr1 0.5000 0.5000 0.5000  4 Ba 3.94, 8 Hf 4.07
Hf1 0.0000 0.5000 0.0000  2 K 2.78

energy relative to the elements	1.581	eV/atom
crystal system	tetragonal
total moment	0.00	Bohr magnetons per cell
density of states at the Fermi level	5.106	states/eV/f.u.

---

Computed, not measured: a relaxed structure of K2BaHfTe4 at the PBE-GGA level of DFT.

Lattice parameters (Å, degrees): 9.0062 10.0464 13.5653 90.00 90.00 90.00
Closest atoms and distances in Å follow each position.
Space group Imma (No. 74)
Inequivalent atoms, fractional coordinates:
K1 0.0000 0.0000 0.0000  6 Te 3.40-3.41
K2 0.2500 0.2500 0.2500  6 Te 3.77-3.88
Ba1 0.0000 0.0000 0.5000  6 Te 3.42-3.45
Hf1 0.2500 0.2500 0.7500  6 Te 2.90-3.01
Te1 0.0000 0.0512 0.7512  2 Hf 3.01
Te2 0.2479 0.2500 0.9641  1 Hf 2.90

formation energy (no corrections)	-9.0	eV/f.u.
crystal system	orthorhombic
total moment	0.00	Bohr magnetons per cell

---

Computed, not measured: a relaxed structure of Ba2LaHf at the PBE-GGA level of DFT.

Lattice parameters (Å, degrees): 4.9277 4.9277 25.8327 90.00 90.00 90.00
Closest atoms and distances in Å follow each position.
Space group I-42d (No. 122)
Inequivalent atoms, fractional coordinates:
Ba1 0.2390 0.2500 0.1250  4 Ba 3.41-3.56, 2 Hf 3.65, 2 La 3.69
La1 0.0000 0.0000 0.5000  4 Hf 3.48, 4 Ba 3.69
Hf1 0.0000 0.0000 0.0000  4 La 3.48, 4 Ba 3.65

energy relative to the elements	0.799	eV/atom
crystal system	tetragonal
total moment	6.99	Bohr magnetons per cell
density of states at the Fermi level	6.227	states/eV/f.u.

---

Computed, not measured: a relaxed structure of BaLaHf2 at the PBE-GGA level of DFT.

Lattice parameters (Å, degrees): 7.8163 7.8163 7.8163 90.00 90.00 90.00
Closest atoms and distances in Å follow each position.
Space group Fm-3m (No. 225)
Inequivalent atoms, fractional coordinates:
Ba1 0.0000 0.0000 0.0000  8 Hf 3.38
La1 0.0000 0.0000 0.5000  8 Hf 3.38
Hf1 0.2500 0.2500 0.2500  4 Ba 3.38, 4 La 3.38

energy relative to the elements	0.723	eV/atom
crystal system	cubic
total moment	0.00	Bohr magnetons per cell
density of states at the Fermi level	4.430	states/eV/f.u.

---

Computed, not measured: a relaxed structure of BaLa2Hf at the PBE-GGA level of DFT.

Lattice parameters (Å, degrees): 8.2613 8.2613 8.2613 90.00 90.00 90.00
Closest atoms and distances in Å follow each position.
Space group Fm-3m (No. 225)
Inequivalent atoms, fractional coordinates:
Ba1 0.0000 0.0000 0.0000  8 La 3.58
La1 0.2500 0.2500 0.2500  4 Hf 3.58, 4 Ba 3.58
Hf1 0.0000 0.0000 0.5000  8 La 3.58

energy relative to the elements	0.489	eV/atom
crystal system	cubic
total moment	8.90	Bohr magnetons per cell
density of states at the Fermi level	4.475	states/eV/f.u.

---

Computed, not measured: a relaxed structure of BaLa2Hf at the PBE-GGA level of DFT.

Lattice parameters (Å, degrees): 9.2055 9.2055 7.0039 90.00 90.00 90.00
Closest atoms and distances in Å follow each position.
Space group I-42d (No. 122)
Inequivalent atoms, fractional coordinates:
Ba1 0.0000 0.0000 0.0000  2 Hf 3.50, 4 La 3.69
La1 0.2018 0.2500 0.6250  2 Hf 3.08
Hf1 0.0000 0.0000 0.5000  4 La 3.08

energy relative to the elements	0.683	eV/atom
crystal system	tetragonal
total moment	0.00	Bohr magnetons per cell
density of states at the Fermi level	6.482	states/eV/f.u.

---

Computed, not measured: a relaxed structure of BaLaHf2 at the PBE-GGA level of DFT.

Lattice parameters (Å, degrees): 4.5619 4.5619 23.4047 90.00 90.00 90.00
Closest atoms and distances in Å follow each position.
Space group I-42d (No. 122)
Inequivalent atoms, fractional coordinates:
Ba1 0.0000 0.0000 0.0000  4 La 3.23, 4 Hf 3.36
La1 0.0000 0.0000 0.5000  4 Ba 3.23, 4 Hf 3.32
Hf1 0.2381 0.2500 0.6250  4 Hf 3.15-3.30, 2 La 3.32, 2 Ba 3.36

energy relative to the elements	0.921	eV/atom
crystal system	tetragonal
total moment	0.00	Bohr magnetons per cell
density of states at the Fermi level	6.640	states/eV/f.u.